# AlInTe2

A PBEsol-optimized structure of AlInTe2 (meta-GGA SCAN, the Alexandria database).

The space group is F-43m (No. 216) and the conventional cell measures 7.401, 7.401 and 7.401 Å, with angles of 90.00, 90.00 and 90.00 degrees. The asymmetric unit holds Al at (0.000, 0.000, 0.000), In at (0.250, 0.250, 0.750), Te at (0.000, 0.000, 0.500) and Te at (0.250, 0.250, 0.250).

The mass density is 6.51 g/cm3. The value obtained for the formation energy (no corrections) is 0.29 eV per atom. As for the total magnetization: 0.0 μB/cell. Its calculated volume is 25.3 Å³ per atom.